[1]
The following is a PBE calculation of crystalline SmDy2Ir at its relaxed geometry, from Alexandria.

Results
- DOS(E_F) (states/eV per cell) = 17.7
- DFT formation energy (eV/atom) = -0.55
- calculated volume (Å³ per atom) = 27.408
- crystal system = orthorhombic
- E_tot (eV per cell) = -99.978
- relative energy among the computed polymorphs (meV per atom) = 0
- density (Mg/m³) = 10.11

Unit cell a=7.2686 b=9.3755 c=6.4350 alpha=90.00 beta=90.00 gamma=90.00
With the nearest neighbours (Å) after each atom.
Space group Pnma (No. 62)
Inequivalent atoms, fractional coordinates:
Sm 0.0340 0.2500 0.1340 x4  2 Ir 2.82-2.95
Dy 0.1755 0.0640 0.6709 x8  2 Ir 2.85-2.88
Ir 0.1177 0.7500 0.4410 x4  2 Sm 2.82-2.95, 4 Dy 2.85-2.88

=====

[2]
The following is a PBE calculation of crystalline SmDy2Ir at its relaxed geometry, from Alexandria.

Results
- DOS(E_F) (states/eV per cell) = 5.0
- DFT formation energy (eV/atom) = -0.41
- calculated volume (Å³ per atom) = 26.977
- crystal system = tetragonal
- E_tot (eV per cell) = -24.420
- relative energy among the computed polymorphs (meV per atom) = 144
- density (Mg/m³) = 10.27

Unit cell a=3.4886 b=3.4886 c=8.8664 alpha=90.00 beta=90.00 gamma=90.00
With the nearest neighbours (Å) after each atom.
Space group P4/mmm (No. 123)
Inequivalent atoms, fractional coordinates:
Sm 0.0000 0.0000 0.0000 x1  4 Sm 3.49, 8 Dy 3.74
Dy 0.5000 0.5000 0.3164 x2  4 Ir 2.96, 1 Dy 3.26
Ir 0.0000 0.0000 0.5000 x1  8 Dy 2.96